Record 1
# TcOs2Rh (PBE-GGA, optimized geometry)
# **Polymorph energy (0 for the lowest one)**: 394 meV per atom
data_TcOs2Rh
_symmetry_space_group_name_H-M 'P 1 2/m 1'
_symmetry_Int_Tables_number 10
_cell_length_a 2.701
_cell_length_b 4.566
_cell_length_c 4.794
_cell_angle_alpha 90.00
_cell_angle_beta 93.52
_cell_angle_gamma 90.00
loop_
_symmetry_equiv_pos_as_xyz
'x,y,z'
'-x,-y,-z'
'-x,y,-z'
'x,-y,z'
loop_
_atom_site_label
_atom_site_type_symbol
_atom_site_fract_x
_atom_site_fract_y
_atom_site_fract_z
_atom_site_occupancy
Tc1 Tc 0.000 0.000 0.000 1
Os1 Os 0.322 0.500 0.745 1
Rh1 Rh 0.500 0.000 0.500 1



Record 2
# Tc2OsRh (PBE-GGA, optimized geometry)
# **Polymorph energy (0 for the lowest one)**: 151 meV per atom
data_Tc2OsRh
_symmetry_space_group_name_H-M 'P 4 m m'
_symmetry_Int_Tables_number 99
_cell_length_a 2.722
_cell_length_b 2.722
_cell_length_c 7.797
_cell_angle_alpha 90.00
_cell_angle_beta 90.00
_cell_angle_gamma 90.00
loop_
_symmetry_equiv_pos_as_xyz
'x,y,z'
'-y,x,z'
'-x,-y,z'
'y,-x,z'
'-x,y,z'
'y,x,z'
'x,-y,z'
'-y,-x,z'
loop_
_atom_site_label
_atom_site_type_symbol
_atom_site_fract_x
_atom_site_fract_y
_atom_site_fract_z
_atom_site_occupancy
Tc1 Tc 0.000 0.000 0.000 1
Tc2 Tc 0.500 0.500 0.263 1
Os1 Os 0.000 0.000 0.498 1
Rh1 Rh 0.500 0.500 0.755 1



Record 3
Density functional theory data (PBE-GGA) for crystalline TcOsRh6 at its relaxed geometry.

```
data_TcOsRh6
_symmetry_space_group_name_H-M 'R -3 m'
_symmetry_Int_Tables_number 166
_symmetry_space_group_name_Hall '-R 3 2"'
_cell_length_a 7.2993
_cell_length_b 7.2993
_cell_length_c 8.7826
_cell_angle_alpha 90.00
_cell_angle_beta 90.00
_cell_angle_gamma 120.00
loop_
_atom_site_label
_atom_site_type_symbol
_atom_site_fract_x
_atom_site_fract_y
_atom_site_fract_z
_atom_site_occupancy
Tc1 Tc 0.0000 0.0000 0.0000 1
Os1 Os 0.0000 0.0000 0.5000 1
Rh1 Rh 0.0732 0.5366 0.8649 1
```



Number 1: E_form 0.432 eV per atom, DOS(E_F) 1.22 states/eV per atom. Number 2: E_form 0.022 eV per atom, DOS(E_F) 0.84 states/eV per atom. Number 3: E_form 0.799 eV per atom, DOS(E_F) 1.35 states/eV per atom.